This record from Alexandria describes an optimized crystal structure of AlTlRe2. The functional is GGA-PBEsol.

Theoretical density: 15.5 Mg/m³
DOS(E_F): 8.641 states/eV/cell
Energy relative to the lowest polymorph listed for this composition: 626.7 meV/atom
ΔH_f (0 K): 0.813 eV per atom

a b c (Å): 5.3833 8.2127 2.9318
angles (deg): 90.00 90.00 90.00
With the nearest neighbours (Å) after each atom.
Space group Cmmm (No. 65)
One atom of each set of equivalent atoms:
Al: 0.0000 0.0000 0.0000  2 Tl 2.69, 8 Re 2.86, 2 Al 2.93
Tl: 0.0000 0.5000 0.0000  2 Al 2.69, 8 Re 2.86, 2 Tl 2.93
Re: 0.2500 0.2500 0.5000  4 Re 2.69-2.93, 4 Tl 2.86, 4 Al 2.86

This record from Alexandria describes an optimized crystal structure of Al2TlRe. The functional is GGA-PBEsol.

Theoretical density: 11.3 Mg/m³
DOS(E_F): 2.232 states/eV/cell
Energy relative to the lowest polymorph listed for this composition: 71.4 meV/atom
ΔH_f (0 K): 0.353 eV per atom

a b c (Å): 4.0532 4.0532 7.9578
angles (deg): 90.00 90.00 90.00
With the nearest neighbours (Å) after each atom.
Space group I4/mmm (No. 139)
One atom of each set of equivalent atoms:
Al: 0.0000 0.5000 0.2500  4 Tl 2.84, 4 Re 2.84, 4 Al 2.87
Tl: 0.0000 0.0000 0.0000  8 Al 2.84, 4 Re 2.87
Re: 0.0000 0.0000 0.5000  8 Al 2.84, 4 Tl 2.87

This record from Alexandria describes an optimized crystal structure of AlTlRe2. The functional is GGA-PBEsol.

Theoretical density: 15.6 Mg/m³
DOS(E_F): 13.941 states/eV/cell
Energy relative to the lowest polymorph listed for this composition: 538.9 meV/atom
ΔH_f (0 K): 0.725 eV per atom

a b c (Å): 6.3625 6.3625 6.3625
angles (deg): 90.00 90.00 90.00
With the nearest neighbours (Å) after each atom.
Space group F-43m (No. 216)
One atom of each set of equivalent atoms:
Al: 0.0000 0.0000 0.0000  4 Re 2.76, 4 Tl 2.76
Tl: 0.2500 0.2500 0.2500  4 Re 2.76, 4 Al 2.76
Re: 0.0000 0.0000 0.5000  4 Tl 2.76, 4 Re 2.76
Re: 0.2500 0.2500 0.7500  4 Re 2.76, 4 Al 2.76

This record from Alexandria describes an optimized crystal structure of AlTlRe2. The functional is GGA-PBEsol.

Theoretical density: 14.9 Mg/m³
DOS(E_F): 6.379 states/eV/cell
Energy relative to the lowest polymorph listed for this composition: 88.5 meV/atom
ΔH_f (0 K): 0.275 eV per atom

a b c (Å): 2.9053 2.9053 27.5278
angles (deg): 90.00 90.00 120.00
With the nearest neighbours (Å) after each atom.
Space group R3m (No. 160, hexagonal axes)
One atom of each set of equivalent atoms:
Al: 0.0000 0.0000 0.0000  3 Re 2.67, 6 Al 2.91
Tl: 0.0000 0.0000 0.7605  6 Tl 2.91, 3 Re 3.02, 3 Al 3.08
Re: 0.0000 0.0000 0.2579  9 Re 2.62-2.91, 3 Al 2.67
Re: 0.0000 0.0000 0.5183  9 Re 2.62-2.91

This record from Alexandria describes an optimized crystal structure of Al2TlRe. The functional is GGA-PBEsol.

Theoretical density: 11.1 Mg/m³
DOS(E_F): 9.199 states/eV/cell
Energy relative to the lowest polymorph listed for this composition: 321.9 meV/atom
ΔH_f (0 K): 0.604 eV per atom

a b c (Å): 6.4260 6.4260 6.4260
angles (deg): 90.00 90.00 90.00
With the nearest neighbours (Å) after each atom.
Space group Fm-3m (No. 225)
One atom of each set of equivalent atoms:
Al: 0.2500 0.2500 0.2500  4 Tl 2.78, 4 Re 2.78
Tl: 0.0000 0.0000 0.0000  8 Al 2.78
Re: 0.0000 0.0000 0.5000  8 Al 2.78

This record from Alexandria describes an optimized crystal structure of AlTl2Re. The functional is GGA-PBEsol.

Theoretical density: 12.4 Mg/m³
DOS(E_F): 5.000 states/eV/cell
Energy relative to the lowest polymorph listed for this composition: 0.0 meV/atom
ΔH_f (0 K): 0.517 eV per atom

a b c (Å): 3.4247 4.7296 10.3113
angles (deg): 90.00 90.00 90.00
With the nearest neighbours (Å) after each atom.
Space group Cmm2 (No. 35)
One atom of each set of equivalent atoms:
Al: 0.0000 0.0000 0.0000  2 Re 2.53
Tl: 0.0000 0.0000 0.5810  4 Tl 2.92, 2 Re 3.00
Tl: 0.0000 0.5000 0.2590  4 Tl 2.92, 2 Al 3.17
Re: 0.0000 0.5000 0.8197  2 Al 2.53

This record from Alexandria describes an optimized crystal structure of AlTlRe2. The functional is GGA-PBEsol.

Theoretical density: 14.2 Mg/m³
DOS(E_F): 2.183 states/eV/cell
Energy relative to the lowest polymorph listed for this composition: 0.0 meV/atom
ΔH_f (0 K): 0.186 eV per atom

a b c (Å): 2.9867 2.9395 8.1528
angles (deg): 90.00 100.52 90.00
With the nearest neighbours (Å) after each atom.
Space group Pm (No. 6)
One atom of each set of equivalent atoms:
Al: 0.0000 0.0000 0.0000  4 Re 2.68, 4 Al 2.94-2.99
Tl: 0.1653 0.5000 0.3270  4 Tl 2.94-2.99, 2 Al 3.00, 4 Re 3.06
Re: 0.3961 0.5000 0.7913  4 Re 2.57, 4 Al 2.68
Re: 0.8030 0.0000 0.6047  4 Re 2.57

This record from Alexandria describes an optimized crystal structure of AlTlRe2. The functional is GGA-PBEsol.

Theoretical density: 15.3 Mg/m³
DOS(E_F): 10.169 states/eV/cell
Energy relative to the lowest polymorph listed for this composition: 375.0 meV/atom
ΔH_f (0 K): 0.561 eV per atom

a b c (Å): 2.8253 2.8253 28.3887
angles (deg): 90.00 90.00 120.00
With the nearest neighbours (Å) after each atom.
Space group R-3m (No. 166, hexagonal axes)
One atom of each set of equivalent atoms:
Al: 0.0000 0.0000 0.0000  6 Re 2.67, 6 Al 2.83
Tl: 0.0000 0.0000 0.5000  6 Tl 2.83, 6 Re 3.08
Re: 0.0000 0.0000 0.2587  3 Al 2.67, 6 Re 2.83